Record 1
Below is crystalline PuPaGaSn at its relaxed geometry, with properties calculated at the GGA-PBE level.

a b c (Å): 3.163 5.727 5.540
angles (deg): 90.00 90.00 106.03
Positions (direct):
Pu (0.199, 0.397, 0.000)
Ga (0.066, 0.133, 0.500)
Sn (0.798, 0.596, 0.500)
Pa (0.949, 0.898, 0.000)

Properties
- Energy relative to the elements: 0.00 eV/atom
- Symmetry: Amm2 (38)
- Total DFT energy (no corrections): -7.71 eV per atom
- Energy above the lowest structure with this stoichiometry: 49.0 kJ/mol of formula units



Record 2
Below is crystalline PuPaGaSn at its relaxed geometry, with properties calculated at the GGA-PBE level.

a b c (Å): 5.195 5.195 5.195
angles (deg): 60.00 60.00 60.00
Positions (direct):
Pa (0.500, 0.500, 0.500)
Sn (0.250, 0.250, 0.250)
Pu (0.000, 0.000, 0.000)
Ga (0.750, 0.750, 0.750)

Properties
- Energy relative to the elements: -0.12 eV/atom
- Symmetry: F-43m (216)
- Total DFT energy (no corrections): -7.84 eV per atom
- Energy above the lowest structure with this stoichiometry: 0.0 kJ/mol of formula units



Record 3
Below is crystalline PuThPaGa at its relaxed geometry, with properties calculated at the GGA-PBE level.

a b c (Å): 5.187 5.187 5.187
angles (deg): 60.00 60.00 60.00
Positions (direct):
Pa (0.000, 0.000, 0.000)
Ga (0.500, 0.500, 0.500)
Pu (0.750, 0.750, 0.750)
Th (0.250, 0.250, 0.250)

Properties
- Energy relative to the elements: 0.05 eV/atom
- Symmetry: F-43m (216)
- Total DFT energy (no corrections): -8.51 eV per atom



Record 4
Below is crystalline PuPaVGa at its relaxed geometry, with properties calculated at the GGA-PBE level.

a b c (Å): 4.768 4.768 4.768
angles (deg): 60.00 60.00 60.00
Positions (direct):
Ga (0.000, 0.000, 0.000)
V (0.750, 0.750, 0.750)
Pu (0.250, 0.250, 0.250)
Pa (0.500, 0.500, 0.500)

Properties
- Energy relative to the elements: -0.07 eV/atom
- Symmetry: F-43m (216)
- Total DFT energy (no corrections): -9.06 eV per atom



Record 5
Below is crystalline YPuPaGa at its relaxed geometry, with properties calculated at the GGA-PBE level.

a b c (Å): 5.129 5.129 5.129
angles (deg): 60.00 60.00 60.00
Positions (direct):
Pa (0.000, 0.000, 0.000)
Ga (0.500, 0.500, 0.500)
Pu (0.250, 0.250, 0.250)
Y (0.750, 0.750, 0.750)

Properties
- Energy relative to the elements: 0.07 eV/atom
- Symmetry: F-43m (216)
- Total DFT energy (no corrections): -8.26 eV per atom



Record 6
Below is crystalline Pu2PaZn2Ga2 at its relaxed geometry, with properties calculated at the GGA-PBE level.

a b c (Å): 4.065 4.065 9.398
angles (deg): 77.51 77.51 60.00
Positions (direct):
Pu (0.849, 0.849, 0.454)
Pu (0.151, 0.151, 0.546)
Pa (0.000, 0.000, 0.000)
Ga (0.739, 0.739, 0.783)
Zn (0.411, 0.411, 0.767)
Ga (0.261, 0.261, 0.217)
Zn (0.589, 0.589, 0.233)

Properties
- Energy relative to the elements: -0.02 eV/atom
- Symmetry: R-3m (166)
- Total DFT energy (no corrections): -6.70 eV per atom



Record 7
Below is crystalline PuZrPaGa at its relaxed geometry, with properties calculated at the GGA-PBE level.

a b c (Å): 4.979 4.979 4.979
angles (deg): 60.00 60.00 60.00
Positions (direct):
Pa (0.750, 0.750, 0.750)
Pu (0.000, 0.000, 0.000)
Ga (0.250, 0.250, 0.250)
Zr (0.500, 0.500, 0.500)

Properties
- Energy relative to the elements: -0.06 eV/atom
- Symmetry: F-43m (216)
- Total DFT energy (no corrections): -8.91 eV per atom



Record 8
Below is crystalline Rb2PaGaS4 at its relaxed geometry, with properties calculated at the GGA-PBE level.

a b c (Å): 6.104 8.072 13.033
angles (deg): 84.92 76.46 67.79
Positions (direct):
Rb (0.822, 0.000, 0.357)
Rb (0.572, 0.500, 0.857)
S (0.820, 0.711, 0.612)
Pa (0.000, 0.000, 0.000)
Rb (0.178, 0.000, 0.643)
Rb (0.928, 0.500, 0.143)
S (0.143, 0.289, 0.388)
S (0.281, 0.789, 0.112)
S (0.607, 0.211, 0.112)
Ga (0.250, 0.500, 0.500)
Ga (0.500, 0.000, 0.000)
S (0.568, 0.289, 0.612)
Pa (0.750, 0.500, 0.500)
S (0.469, 0.711, 0.388)
S (0.182, 0.211, 0.888)
S (0.930, 0.789, 0.888)

Properties
- Energy relative to the elements, uncorrected: -1.00 eV per atom
- Symmetry: Fddd (70)
- Total DFT energy (no corrections): -4.87 eV per atom



Record 9
Below is crystalline Rb2PaGaS5 at its relaxed geometry, with properties calculated at the GGA-PBE level.

a b c (Å): 4.084 9.786 14.426
angles (deg): 90.00 90.00 102.04
Positions (direct):
S (0.059, 0.119, 0.018)
S (0.309, 0.619, 0.402)
Pa (0.797, 0.593, 0.529)
S (0.669, 0.338, 0.508)
S (0.300, 0.600, 0.646)
S (0.331, 0.662, 0.008)
S (0.508, 0.015, 0.796)
Ga (0.567, 0.135, 0.922)
S (0.700, 0.400, 0.146)
Pa (0.203, 0.407, 0.029)
Rb (0.106, 0.213, 0.673)
Rb (0.894, 0.787, 0.173)
S (0.941, 0.881, 0.518)
S (0.492, 0.985, 0.296)
Rb (0.876, 0.752, 0.830)
Rb (0.124, 0.248, 0.330)
Ga (0.433, 0.865, 0.422)
S (0.691, 0.381, 0.902)

Properties
- Energy relative to the elements, uncorrected: -1.26 eV per atom
- Symmetry: Cmc2_1 (36)
- Total DFT energy (no corrections): -5.16 eV per atom



Record 10
Below is crystalline Rb2PaGaSe5 at its relaxed geometry, with properties calculated at the GGA-PBE level.

a b c (Å): 4.229 10.321 14.715
angles (deg): 90.00 90.00 101.82
Positions (direct):
Se (0.302, 0.604, 0.650)
Se (0.508, 0.017, 0.789)
Se (0.059, 0.118, 0.023)
Rb (0.880, 0.759, 0.830)
Se (0.308, 0.617, 0.393)
Se (0.692, 0.383, 0.893)
Pa (0.798, 0.595, 0.526)
Se (0.669, 0.339, 0.508)
Se (0.492, 0.983, 0.289)
Se (0.331, 0.661, 0.008)
Ga (0.568, 0.136, 0.921)
Se (0.698, 0.396, 0.150)
Se (0.941, 0.882, 0.523)
Ga (0.432, 0.864, 0.421)
Rb (0.882, 0.764, 0.183)
Rb (0.118, 0.236, 0.683)
Rb (0.120, 0.241, 0.330)
Pa (0.202, 0.405, 0.026)

Properties
- Energy relative to the elements, uncorrected: -1.15 eV per atom
- Symmetry: Cmc2_1 (36)
- Total DFT energy (no corrections): -4.69 eV per atom



Record 11
Below is crystalline Pa3GaRe at its relaxed geometry, with properties calculated at the GGA-PBE level.

a b c (Å): 7.887 7.659 7.661
angles (deg): 77.57 89.97 89.94
Positions (direct):
Pa (0.000, 0.372, 0.373)
Pa (0.432, 0.046, 0.706)
Pa (0.000, 0.628, 0.627)
Pa (0.932, 0.954, 0.294)
Pa (0.569, 0.706, 0.045)
Pa (0.500, 0.628, 0.627)
Pa (0.068, 0.046, 0.706)
Pa (0.431, 0.294, 0.955)
Pa (0.932, 0.706, 0.046)
Re (0.250, 0.115, 0.341)
Ga (0.250, 0.942, 0.058)
Ga (0.750, 0.317, 0.684)
Pa (0.500, 0.372, 0.373)
Re (0.750, 0.885, 0.659)
Ga (0.250, 0.683, 0.316)
Pa (0.068, 0.294, 0.954)
Pa (0.568, 0.954, 0.294)
Ga (0.750, 0.058, 0.942)
Re (0.250, 0.660, 0.885)
Re (0.750, 0.340, 0.115)

Properties
- Energy relative to the elements: 0.06 eV/atom
- Symmetry: P-1 (2)
- Total DFT energy (no corrections): -8.74 eV per atom
- Energy above the lowest structure with this stoichiometry: 75.9 kJ/mol of formula units



Record 12
Below is crystalline Pa8Ga2Re at its relaxed geometry, with properties calculated at the GGA-PBE level.

a b c (Å): 5.149 7.460 7.783
angles (deg): 114.60 109.31 90.00
Positions (direct):
Pa (0.580, 0.421, 0.159)
Pa (0.182, 0.244, 0.363)
Re (0.500, 0.000, 0.000)
Pa (0.015, 0.788, 0.030)
Ga (0.816, 0.352, 0.632)
Ga (0.184, 0.648, 0.368)
Pa (0.326, 0.090, 0.653)
Pa (0.420, 0.579, 0.841)
Pa (0.985, 0.212, 0.970)
Pa (0.818, 0.756, 0.637)
Pa (0.674, 0.910, 0.347)

Properties
- Energy relative to the elements: -0.03 eV/atom
- Symmetry: C2/m (12)
- Total DFT energy (no corrections): -8.62 eV per atom



Record 13
Below is crystalline PaGa2Re at its relaxed geometry, with properties calculated at the GGA-PBE level.

a b c (Å): 3.290 3.290 6.620
angles (deg): 90.00 90.00 90.00
Positions (direct):
Ga (0.000, 0.000, 0.800)
Ga (0.000, 0.000, 0.200)
Re (0.500, 0.500, 0.000)
Pa (0.500, 0.500, 0.500)

Properties
- Energy relative to the elements: -0.03 eV/atom
- Symmetry: P4/mmm (123)
- Total DFT energy (no corrections): -7.03 eV per atom
- Energy above the lowest structure with this stoichiometry: 98.9 kJ/mol of formula units



Record 14
Below is crystalline Pa3GaRe at its relaxed geometry, with properties calculated at the GGA-PBE level.

a b c (Å): 7.522 7.522 7.522
angles (deg): 90.00 90.00 90.00
Positions (direct):
Pa (0.532, 0.648, 0.296)
Pa (0.204, 0.468, 0.148)
Pa (0.704, 0.032, 0.852)
Re (0.662, 0.662, 0.662)
Pa (0.148, 0.204, 0.468)
Pa (0.032, 0.852, 0.704)
Re (0.838, 0.338, 0.162)
Pa (0.296, 0.532, 0.648)
Ga (0.427, 0.927, 0.573)
Ga (0.573, 0.427, 0.927)
Re (0.162, 0.838, 0.338)
Ga (0.927, 0.573, 0.427)
Pa (0.852, 0.704, 0.032)
Pa (0.796, 0.968, 0.352)
Re (0.338, 0.162, 0.838)
Ga (0.073, 0.073, 0.073)
Pa (0.648, 0.296, 0.532)
Pa (0.968, 0.352, 0.796)
Pa (0.468, 0.148, 0.204)
Pa (0.352, 0.796, 0.968)

Properties
- Energy relative to the elements: -0.10 eV/atom
- Symmetry: P2_13 (198)
- Total DFT energy (no corrections): -8.89 eV per atom
- Energy above the lowest structure with this stoichiometry: 0.0 kJ/mol of formula units



Record 15
Below is crystalline Pa5Ga2Re2 at its relaxed geometry, with properties calculated at the GGA-PBE level.

a b c (Å): 7.774 7.490 8.209
angles (deg): 117.14 90.00 90.00
Positions (direct):
Pa (0.500, 0.500, 0.000)
Pa (0.331, 0.959, 0.253)
Pa (0.169, 0.205, 0.747)
Ga (0.000, 0.211, 0.422)
Pa (0.000, 0.000, 0.000)
Re (0.868, 0.362, 0.000)
Re (0.632, 0.862, 0.000)
Pa (0.331, 0.705, 0.747)
Pa (0.169, 0.459, 0.253)
Pa (0.831, 0.795, 0.253)
Re (0.368, 0.138, 0.000)
Pa (0.831, 0.541, 0.747)
Ga (0.500, 0.289, 0.578)
Ga (0.000, 0.789, 0.578)
Ga (0.500, 0.711, 0.422)
Pa (0.669, 0.041, 0.747)
Re (0.132, 0.638, 0.000)
Pa (0.669, 0.295, 0.253)

Properties
- Energy relative to the elements: -0.06 eV/atom
- Symmetry: Cmce (64)
- Total DFT energy (no corrections): -8.78 eV per atom



Record 16
Below is crystalline PaGaRe2 at its relaxed geometry, with properties calculated at the GGA-PBE level.

a b c (Å): 3.795 4.299 4.299
angles (deg): 90.00 90.00 90.00
Positions (direct):
Re (0.000, 0.000, 0.500)
Pa (0.500, 0.500, 0.500)
Ga (0.500, 0.000, 0.000)
Re (0.000, 0.500, 0.000)

Properties
- Energy relative to the elements: 0.00 eV/atom
- Symmetry: P4/mmm (123)
- Total DFT energy (no corrections): -9.36 eV per atom
- Energy above the lowest structure with this stoichiometry: 0.0 kJ/mol of formula units



Record 17
Below is crystalline PaGa2Re at its relaxed geometry, with properties calculated at the GGA-PBE level.

a b c (Å): 4.658 4.658 4.659
angles (deg): 60.01 60.01 60.00
Positions (direct):
Re (0.500, 0.500, 0.500)
Pa (0.000, 0.000, 0.000)
Ga (0.250, 0.250, 0.250)
Ga (0.750, 0.750, 0.750)

Properties
- Energy relative to the elements: -0.12 eV/atom
- Symmetry: Fm-3m (225)
- Total DFT energy (no corrections): -7.12 eV per atom
- Energy above the lowest structure with this stoichiometry: 63.9 kJ/mol of formula units



Record 18
Below is crystalline Pa2GaRe at its relaxed geometry, with properties calculated at the GGA-PBE level.

a b c (Å): 3.183 3.183 8.401
angles (deg): 90.00 90.00 90.00
Positions (direct):
Pa (0.000, 0.000, 0.226)
Pa (0.000, 0.000, 0.774)
Ga (0.500, 0.500, 0.500)
Re (0.500, 0.500, 0.000)

Properties
- Energy relative to the elements: -0.19 eV/atom
- Symmetry: P4/mmm (123)
- Total DFT energy (no corrections): -8.81 eV per atom
- Energy above the lowest structure with this stoichiometry: 0.0 kJ/mol of formula units



Record 19
Below is crystalline PaGaRe2 at its relaxed geometry, with properties calculated at the GGA-PBE level.

a b c (Å): 4.648 4.648 4.648
angles (deg): 60.00 60.00 60.00
Positions (direct):
Re (0.250, 0.250, 0.250)
Ga (0.000, 0.000, 0.000)
Re (0.750, 0.750, 0.750)
Pa (0.500, 0.500, 0.500)

Properties
- Energy relative to the elements: 0.14 eV/atom
- Symmetry: Fm-3m (225)
- Total DFT energy (no corrections): -9.22 eV per atom
- Energy above the lowest structure with this stoichiometry: 55.2 kJ/mol of formula units



Record 20
Below is crystalline Pa4GaRe at its relaxed geometry, with properties calculated at the GGA-PBE level.

a b c (Å): 5.791 6.898 6.898
angles (deg): 90.00 90.00 90.00
Positions (direct):
Ga (0.250, 0.000, 0.000)
Re (0.750, 0.500, 0.500)
Pa (0.000, 0.635, 0.844)
Pa (0.500, 0.635, 0.156)
Pa (0.000, 0.365, 0.156)
Pa (0.000, 0.844, 0.365)
Pa (0.500, 0.844, 0.635)
Pa (0.000, 0.156, 0.635)
Pa (0.500, 0.365, 0.844)
Ga (0.750, 0.000, 0.000)
Pa (0.500, 0.156, 0.365)
Re (0.250, 0.500, 0.500)

Properties
- Energy relative to the elements: -0.15 eV/atom
- Symmetry: P4/mcc (124)
- Total DFT energy (no corrections): -9.06 eV per atom
- Energy above the lowest structure with this stoichiometry: 0.0 kJ/mol of formula units



Record 21
Below is crystalline Pa2GaRe3 at its relaxed geometry, with properties calculated at the GGA-PBE level.

a b c (Å): 5.458 5.458 8.678
angles (deg): 90.00 90.00 120.00
Positions (direct):
Re (0.828, 0.656, 0.750)
Re (0.172, 0.344, 0.250)
Re (0.344, 0.172, 0.750)
Pa (0.333, 0.667, 0.580)
Re (0.828, 0.172, 0.750)
Ga (0.000, 0.000, 0.500)
Pa (0.333, 0.667, 0.920)
Ga (0.000, 0.000, 0.000)
Pa (0.667, 0.333, 0.420)
Re (0.172, 0.828, 0.250)
Pa (0.667, 0.333, 0.080)
Re (0.656, 0.828, 0.250)

Properties
- Energy relative to the elements: -0.22 eV/atom
- Symmetry: P6_3/mmc (194)
- Total DFT energy (no corrections): -10.11 eV per atom



Record 22
Below is crystalline Pa4GaRe at its relaxed geometry, with properties calculated at the GGA-PBE level.

a b c (Å): 5.876 7.928 7.452
angles (deg): 113.99 103.01 108.54
Positions (direct):
Ga (0.638, 0.388, 0.776)
Pa (0.968, 0.790, 0.190)
Pa (0.756, 0.683, 0.615)
Pa (0.032, 0.210, 0.810)
Pa (0.641, 0.067, 0.385)
Re (0.250, 0.000, 0.999)
Pa (0.359, 0.933, 0.615)
Re (0.750, 0.000, 0.001)
Ga (0.362, 0.612, 0.224)
Pa (0.722, 0.401, 0.190)
Pa (0.278, 0.599, 0.810)
Pa (0.244, 0.317, 0.385)

Properties
- Energy relative to the elements: -0.12 eV/atom
- Symmetry: C2/c (15)
- Total DFT energy (no corrections): -9.03 eV per atom
- Energy above the lowest structure with this stoichiometry: 13.9 kJ/mol of formula units



Record 23
Below is crystalline Pa2GaRe at its relaxed geometry, with properties calculated at the GGA-PBE level.

a b c (Å): 4.168 4.416 4.416
angles (deg): 90.00 90.00 90.00
Positions (direct):
Pa (0.000, 0.500, 0.000)
Ga (0.500, 0.000, 0.000)
Re (0.500, 0.500, 0.500)
Pa (0.000, 0.000, 0.500)

Properties
- Energy relative to the elements: -0.16 eV/atom
- Symmetry: P4/mmm (123)
- Total DFT energy (no corrections): -8.78 eV per atom
- Energy above the lowest structure with this stoichiometry: 11.1 kJ/mol of formula units